Compound: PbI2O2
Source: the Alexandria database
Functional: PBE
Structure: relaxed

Computed properties:
* excess energy over the best structure of this formula in the dataset: 461.8 meV/atom
* energy relative to the elements, uncorrected: 456 meV/atom
* density of states at the Fermi level: 3.86 states/eV/cell
* total magnetization: 0.00 μB per formula unit
* volume: 24.0 Å³/atom
* symmetry: No. 123

a b c (Å): 5.1192 5.1192 4.5798
angles (deg): 90.00 90.00 90.00
Last column: nearest neighbours and their distance in Å.
Sites, in units of the cell vectors:
Pb: 0.0000 0.0000 0.0000  8 I 3.43, 4 O 3.62
I: 0.0000 0.5000 0.5000  2 O 2.56
I: 0.5000 0.0000 0.5000  2 O 2.56
O: 0.5000 0.5000 0.0000  2 O 2.29
O: 0.5000 0.5000 0.5000  2 O 2.29, 4 I 2.56

=====

Compound: Pr2Ho2Tl3
Source: the Alexandria database
Functional: PBE
Structure: relaxed

Computed properties:
* excess energy over the best structure of this formula in the dataset: 0.0 meV/atom
* energy of formation from the pure elements: -234 meV per atom
* density of states at the Fermi level: 6.62 states/eV/cell
* total magnetization: 0.00 μB per formula unit
* volume: 30.6 Å³/atom
* symmetry: No. 2

a b c (Å): 3.7790 7.4507 8.0873
angles (deg): 76.57 89.95 75.46
Last column: nearest neighbours and their distance in Å.
Sites, in units of the cell vectors:
Pr: 0.2057 0.0874 0.1697  5 Tl 3.39-3.52, 3 Ho 3.65-3.71, 4 Pr 3.78-3.79
Pr: 0.7943 0.9126 0.8303  5 Tl 3.39-3.52, 3 Ho 3.65-3.71, 4 Pr 3.78-3.79
Ho: 0.0670 0.3672 0.7291  6 Tl 3.18-3.40
Ho: 0.9330 0.6328 0.2709  6 Tl 3.18-3.40
Tl: 0.3741 0.7528 0.5451  4 Ho 3.18-3.40, 3 Pr 3.39-3.40
Tl: 0.5000 0.5000 0.0000  4 Ho 3.21, 4 Pr 3.51-3.52
Tl: 0.6259 0.2472 0.4549  4 Ho 3.18-3.40, 3 Pr 3.39-3.40

=====

Compound: LaPm3Ho2Er6
Source: the Alexandria database
Functional: PBE
Structure: relaxed

Computed properties:
* energy of formation from the pure elements: 20 meV per atom
* density of states at the Fermi level: 14.84 states/eV/cell
* total magnetization: 0.00 μB per formula unit
* volume: 32.0 Å³/atom
* symmetry: No. 12

a b c (Å): 6.1836 6.1836 11.7716
angles (deg): 95.01 95.01 119.98
Last column: nearest neighbours and their distance in Å.
Sites, in units of the cell vectors:
La: 0.0000 0.0000 0.0000  6 Er 3.56, 6 Ho 3.57
Pm: 0.1670 0.8330 0.5000  6 Er 3.55-3.56, 6 Pm 3.57-3.58
Pm: 0.5000 0.5000 0.5000  6 Er 3.55-3.56, 6 Pm 3.57
Pm: 0.8330 0.1670 0.5000  6 Er 3.55-3.56, 6 Pm 3.57-3.58
Ho: 0.3333 0.6667 0.0000  6 Er 3.55, 3 La 3.57, 3 Ho 3.57
Ho: 0.6667 0.3333 0.0000  6 Er 3.55, 3 La 3.57, 3 Ho 3.57
Er: 0.0836 0.4181 0.2496  2 Ho 3.55, 3 Pm 3.55-3.56, 1 La 3.56, 6 Er 3.56-3.59
Er: 0.2512 0.2512 0.7503  2 Ho 3.55, 3 Pm 3.55-3.56, 1 La 3.56, 6 Er 3.56-3.59
Er: 0.4181 0.0836 0.2496  2 Ho 3.55, 3 Pm 3.55-3.56, 1 La 3.56, 6 Er 3.56-3.59
Er: 0.5819 0.9164 0.7504  2 Ho 3.55, 3 Pm 3.55-3.56, 1 La 3.56, 6 Er 3.56-3.59
Er: 0.7488 0.7488 0.2497  2 Ho 3.55, 3 Pm 3.55-3.56, 1 La 3.56, 6 Er 3.56-3.59
Er: 0.9164 0.5819 0.7504  2 Ho 3.55, 3 Pm 3.55-3.56, 1 La 3.56, 6 Er 3.56-3.59

=====

Compound: Ac2Pm3Pt2
Source: the Alexandria database
Functional: PBE
Structure: relaxed

Computed properties:
* energy of formation from the pure elements: -704 meV per atom
* density of states at the Fermi level: 8.45 states/eV/cell
* total magnetization: 0.00 μB per formula unit
* volume: 31.3 Å³/atom
* symmetry: No. 12

a b c (Å): 6.6950 6.6950 9.5210
angles (deg): 114.19 114.19 34.64
Last column: nearest neighbours and their distance in Å.
Sites, in units of the cell vectors:
Ac: 0.1623 0.1623 0.3049  2 Pt 3.15
Ac: 0.8377 0.8377 0.6951  2 Pt 3.15
Pm: 0.3814 0.3814 0.0694  3 Pt 2.92-3.19
Pm: 0.5000 0.5000 0.5000  4 Pt 3.07
Pm: 0.6186 0.6186 0.9306  3 Pt 2.92-3.19
Pt: 0.1632 0.1632 0.7384  5 Pm 2.92-3.19, 2 Ac 3.15
Pt: 0.8368 0.8368 0.2616  5 Pm 2.92-3.19, 2 Ac 3.15

=====

Compound: CsCaAcCl6
Source: the Alexandria database
Functional: PBE
Structure: relaxed

Computed properties:
* energy relative to the elements, uncorrected: -2290 meV/atom
* density of states at the Fermi level: 0.00 states/eV/cell
* total magnetization: 0.00 μB per formula unit
* volume: 43.9 Å³/atom
* symmetry: No. 74

a b c (Å): 10.3863 10.3863 10.3863
angles (deg): 121.58 118.69 89.79
Last column: nearest neighbours and their distance in Å.
Sites, in units of the cell vectors:
Cs: 0.2820 0.0320 0.2500  1 Cl 3.36
Cs: 0.7180 0.9680 0.7500  1 Cl 3.36
Ca: 0.0000 0.0000 0.5000  6 Cl 2.66-2.78
Ca: 0.0000 0.5000 0.0000  6 Cl 2.66-2.78
Ac: 0.0000 0.5000 0.5000  6 Cl 2.88-2.92
Ac: 0.5000 0.5000 0.0000  6 Cl 2.88-2.92
Cl: 0.0502 0.3991 0.2159  1 Ca 2.78, 1 Ac 2.88
Cl: 0.0502 0.8343 0.6511  1 Ca 2.78, 1 Ac 2.88
Cl: 0.0540 0.8040 0.2500  2 Ca 2.66
Cl: 0.3168 0.1657 0.7159  1 Ca 2.78, 1 Ac 2.88
Cl: 0.3168 0.6009 0.1511  1 Ca 2.78, 1 Ac 2.88
Cl: 0.3329 0.5829 0.7500  2 Ac 2.92
Cl: 0.6671 0.4171 0.2500  2 Ac 2.92
Cl: 0.6832 0.3991 0.8489  1 Ca 2.78, 1 Ac 2.88
Cl: 0.6832 0.8343 0.2841  1 Ca 2.78, 1 Ac 2.88
Cl: 0.9460 0.1960 0.7500  2 Ca 2.66
Cl: 0.9498 0.1657 0.3489  1 Ca 2.78, 1 Ac 2.88
Cl: 0.9498 0.6009 0.7841  1 Ca 2.78, 1 Ac 2.88

=====

Compound: RbThPtO4
Source: the Alexandria database
Functional: PBE
Structure: relaxed

Computed properties:
* energy relative to the elements, uncorrected: -1894 meV/atom
* density of states at the Fermi level: 13.76 states/eV/cell
* total magnetization: 0.00 μB per formula unit
* volume: 19.5 Å³/atom
* symmetry: No. 74

a b c (Å): 7.7472 7.7472 7.7472
angles (deg): 133.08 124.40 75.64
Last column: nearest neighbours and their distance in Å.
Sites, in units of the cell vectors:
Rb: 0.4281 0.1781 0.2500  4 O 2.60-2.78
Rb: 0.5719 0.8219 0.7500  4 O 2.60-2.78
Th: 0.0000 0.5000 0.5000  4 O 2.25
Th: 0.5000 0.5000 0.0000  4 O 2.25
Pt: 0.0000 0.0000 0.5000  4 O 2.03
Pt: 0.0000 0.5000 0.0000  4 O 2.03
O: 0.1256 0.7071 0.4185  2 Pt 2.03
O: 0.2113 0.2929 0.9185  2 Pt 2.03
O: 0.2729 0.3107 0.5378  2 Th 2.25
O: 0.2729 0.7352 0.9622  2 Th 2.25
O: 0.7271 0.2648 0.0378  2 Th 2.25
O: 0.7271 0.6893 0.4622  2 Th 2.25
O: 0.7887 0.7071 0.0815  2 Pt 2.03
O: 0.8744 0.2929 0.5815  2 Pt 2.03

=====

Compound: Ho2Zn15Co2
Source: the Alexandria database
Functional: PBE
Structure: relaxed

Computed properties:
* energy of formation from the pure elements: -173 meV per atom
* density of states at the Fermi level: 9.30 states/eV/cell
* total magnetization: 2.36 μB per formula unit
* volume: 15.5 Å³/atom
* symmetry: No. 166

a b c (Å): 6.7089 6.7089 6.7089
angles (deg): 82.64 82.64 82.64
Last column: nearest neighbours and their distance in Å.
Sites, in units of the cell vectors:
Ho: 0.1681 0.1681 0.1681  1 Co 3.11, 15 Zn 3.18-3.34
Ho: 0.8319 0.8319 0.8319  1 Co 3.11, 15 Zn 3.18-3.34
Zn: 0.0000 0.5000 0.5000  8 Zn 2.54-2.57, 2 Co 2.73
Zn: 0.1491 0.1491 0.6512  8 Zn 2.57-2.73, 1 Co 2.83
Zn: 0.1491 0.6512 0.1491  8 Zn 2.57-2.73, 1 Co 2.83
Zn: 0.2138 0.5000 0.7862  8 Zn 2.54-2.73, 2 Co 2.81
Zn: 0.2138 0.7862 0.5000  8 Zn 2.54-2.73, 2 Co 2.81
Zn: 0.3488 0.8509 0.8509  8 Zn 2.57-2.73, 1 Co 2.83
Zn: 0.5000 0.0000 0.5000  8 Zn 2.54-2.57, 2 Co 2.73
Zn: 0.5000 0.2138 0.7862  8 Zn 2.54-2.73, 2 Co 2.81
Zn: 0.5000 0.5000 0.0000  8 Zn 2.54-2.57, 2 Co 2.73
Zn: 0.5000 0.7862 0.2138  8 Zn 2.54-2.73, 2 Co 2.81
Zn: 0.6512 0.1491 0.1491  8 Zn 2.57-2.73, 1 Co 2.83
Zn: 0.7862 0.2138 0.5000  8 Zn 2.54-2.73, 2 Co 2.81
Zn: 0.7862 0.5000 0.2138  8 Zn 2.54-2.73, 2 Co 2.81
Zn: 0.8509 0.3488 0.8509  8 Zn 2.57-2.73, 1 Co 2.83
Zn: 0.8509 0.8509 0.3488  8 Zn 2.57-2.73, 1 Co 2.83
Co: 0.4069 0.4069 0.4069  1 Co 2.43
Co: 0.5931 0.5931 0.5931  1 Co 2.43

=====

Compound: Th7InTc2
Source: the Alexandria database
Functional: PBE
Structure: relaxed

Computed properties:
* energy of formation from the pure elements: 104 meV per atom
* density of states at the Fermi level: 14.02 states/eV/cell
* total magnetization: 0.00 μB per formula unit
* volume: 33.3 Å³/atom
* symmetry: No. 65

a b c (Å): 8.3574 8.3574 5.2047
angles (deg): 90.00 90.00 113.62
Last column: nearest neighbours and their distance in Å.
Sites, in units of the cell vectors:
Th: 0.0000 0.0000 0.0000  2 Tc 2.64
Th: 0.1934 0.4466 0.0000  2 Tc 3.05-3.06, 1 Th 3.29
Th: 0.2165 0.7835 0.5000  2 Tc 2.63
Th: 0.4466 0.1934 0.0000  2 Tc 3.05-3.06, 1 Th 3.29
Th: 0.5534 0.8066 0.0000  2 Tc 3.05-3.06, 1 Th 3.29
Th: 0.7835 0.2165 0.5000  2 Tc 2.63
Th: 0.8066 0.5534 0.0000  2 Tc 3.05-3.06, 1 Th 3.29
In: 0.5000 0.5000 0.5000  10 Th 3.55-3.97
Tc: 0.1889 0.8111 0.0000  3 Th 2.63-2.64
Tc: 0.8111 0.1889 0.0000  3 Th 2.63-2.64